(1)
PBE SrAl2AgAu, optimized geometry; crystal system = orthorhombic; SG = Imm2 (44)
1.0
-2.212 2.269 5.597
2.212 -2.269 5.597
2.212 2.269 -5.597
Sr Al Ag Au
1 2 1 1
direct
0.000 0.000 0.000
0.379 0.379 0.000
0.742 0.242 0.500
0.261 0.761 0.500
0.606 0.606 0.000


(2)
PBE LaFe2Pt, optimized geometry; crystal system = cubic; SG = Fm-3m (225)
1.0
0.000 3.252 3.252
3.252 0.000 3.252
3.252 3.252 0.000
La Fe Pt
1 2 1
direct
0.000 0.000 0.000
0.250 0.250 0.250
0.750 0.750 0.750
0.500 0.500 0.500


(3)
PBE Cu2POs, optimized geometry; crystal system = orthorhombic; SG = Cmm2 (35)
1.0
1.421 -2.345 0.000
1.421 2.345 0.000
0.000 0.000 8.171
Cu P Os
2 1 1
direct
0.000 0.000 0.000
0.500 0.500 0.248
0.000 0.000 0.499
0.500 0.500 0.726


(4)
PBE V5Tc2Mo, optimized geometry; crystal system = orthorhombic; SG = Pbam (55)
1.0
5.135 0.000 0.000
0.000 10.016 0.000
0.000 0.000 4.376
V Tc Mo
10 4 2
direct
0.000 0.000 0.000
0.152 0.254 0.000
0.169 0.618 0.500
0.331 0.118 0.500
0.348 0.754 0.000
0.500 0.500 0.000
0.652 0.246 0.000
0.669 0.882 0.500
0.831 0.382 0.500
0.848 0.746 0.000
0.168 0.874 0.500
0.332 0.374 0.500
0.668 0.626 0.500
0.832 0.126 0.500
0.000 0.500 0.000
0.500 0.000 0.000


| no. | DFT total energy (eV/atom) | energy relative to the elements (eV per formula unit) |
| --- | --- | --- |
| 1 | -3.47 | -2.0 |
| 2 | -6.92 | 0.2 |
| 3 | -5.84 | 1.5 |
| 4 | -9.80 | -1.2 |